# YNi2O4 PBE with a Hubbard U relaxed
data_YNi2O4
_chemical_formula_sum 'Y4 Ni8 O16'
_symmetry_space_group_name_H-M 'I m m a'
_symmetry_Int_Tables_number 74
_symmetry_space_group_name_Hall '-I 2b 2'
_cell_length_a 6.119
_cell_length_b 6.451
_cell_length_c 8.643
_cell_angle_alpha 90.00
_cell_angle_beta 90.00
_cell_angle_gamma 90.00
loop_
_atom_site_label
_atom_site_fract_x
_atom_site_fract_y
_atom_site_fract_z
Y1 0.000 0.000 0.000
Ni1 0.000 0.250 0.376
Ni2 0.250 0.250 0.750
O1 0.000 0.005 0.739
O2 0.248 0.250 0.508
# * E: -6.114 eV/atom
# * energy above the most stable polymorph in this dataset: 137 meV per atom
# * total magnetization: 0.712 μB per atom